Record 1
Compound: Ba2ZrW
Source: the Alexandria database
Functional: PBE-GGA
Structure: relaxed

The structure belongs to space group C2/m (No. 12); the cell edges are 6.299, 11.522 and 3.142 Å and the angles 90.00°, 90.13° and 90.00°. The asymmetric unit holds Ba at (0.250, 0.250, 0.000), Zr at (0.000, 0.000, 0.500) and W at (0.000, 0.500, 0.500).

The energy of formation comes out at 5.13 eV per formula unit. For the calculated volume, the calculation gives 114.03 Å³/f.u. The value obtained for the energy relative to the lowest polymorph listed for this composition is 0.6603 eV/atom. Its density of states at the Fermi level is 11.26 states/eV/cell. Its total DFT energy (no corrections) is -5.054 eV/atom.

Record 2
Compound: BaZrW2
Source: the Alexandria database
Functional: PBE-GGA
Structure: relaxed

The structure belongs to space group I4/mmm (No. 139); the cell edges are 4.083, 4.083 and 10.330 Å and the angles 90.00°, 90.00° and 90.00°. The asymmetric unit holds Ba at (0.000, 0.000, 0.000), Zr at (0.000, 0.000, 0.500) and W at (0.000, 0.500, 0.250).

The energy of formation comes out at 5.75 eV per formula unit. For the calculated volume, the calculation gives 86.11 Å³/f.u. The value obtained for the energy relative to the lowest polymorph listed for this composition is 0.8716 eV/atom. Its density of states at the Fermi level is 10.24 states/eV/cell. Its total DFT energy (no corrections) is -7.657 eV/atom.

Record 3
Compound: Ba2ZrW
Source: the Alexandria database
Functional: PBE-GGA
Structure: relaxed

The structure belongs to space group P2/m (No. 10); the cell edges are 3.145, 5.737 and 6.309 Å and the angles 90.00°, 90.21° and 90.00°. The asymmetric unit holds Ba at (0.003, 0.000, 0.254), Zr at (0.500, 0.500, 0.000) and W at (0.500, 0.500, 0.500).

The energy of formation comes out at 5.14 eV per formula unit. For the calculated volume, the calculation gives 113.83 Å³/f.u. The value obtained for the energy relative to the lowest polymorph listed for this composition is 0.6627 eV/atom. Its density of states at the Fermi level is 4.86 states/eV/cell. Its total DFT energy (no corrections) is -5.052 eV/atom.

Record 4
Compound: BaZrW2
Source: the Alexandria database
Functional: PBE-GGA
Structure: relaxed

The structure belongs to space group R-3m (No. 166, hexagonal axes); the cell edges are 3.0685, 3.0685 and 32.7077 Å and the angles 90.00°, 90.00° and 120.00°. The asymmetric unit holds Ba at (0.0000, 0.0000, 0.0000), Zr at (0.0000, 0.0000, 0.5000) and W at (0.0000, 0.0000, 0.2401).

The energy of formation comes out at 4.70 eV per formula unit. For the calculated volume, the calculation gives 88.90 Å³/f.u. The value obtained for the energy relative to the lowest polymorph listed for this composition is 0.6099 eV/atom. Its density of states at the Fermi level is 16.75 states/eV/cell. Its total DFT energy (no corrections) is -7.918 eV/atom.

Record 5
Compound: BaZr4W
Source: the Alexandria database
Functional: PBE-GGA
Structure: relaxed

The structure belongs to space group F-43m (No. 216); the cell edges are 8.299, 8.299 and 8.299 Å and the angles 90.00°, 90.00° and 90.00°. The asymmetric unit holds Ba at (0.000, 0.000, 0.000), Zr at (0.123, 0.123, 0.377) and W at (0.250, 0.250, 0.750).

The energy of formation comes out at 5.33 eV per formula unit. For the calculated volume, the calculation gives 142.88 Å³/f.u. Its density of states at the Fermi level is 49.91 states/eV/cell. Its total DFT energy (no corrections) is -7.290 eV/atom.

Record 6
Compound: BaZr3W
Source: the Alexandria database
Functional: PBE-GGA
Structure: relaxed

The structure belongs to space group Pm-3m (No. 221); the cell edges are 5.290, 5.290 and 5.290 Å and the angles 90.00°, 90.00° and 90.00°. The asymmetric unit holds Ba at (0.000, 0.000, 0.000), Zr at (0.000, 0.500, 0.500) and W at (0.500, 0.500, 0.500).

The energy of formation comes out at 3.30 eV per formula unit. For the calculated volume, the calculation gives 148.00 Å³/f.u. The value obtained for the energy relative to the lowest polymorph listed for this composition is 0.0000 eV/atom. Its density of states at the Fermi level is 9.30 states/eV/cell. Its total DFT energy (no corrections) is -7.444 eV/atom.

Record 7
Compound: Ba2ZrW
Source: the Alexandria database
Functional: PBE-GGA
Structure: relaxed

The structure belongs to space group Pm (No. 6); the cell edges are 3.354, 4.659 and 9.196 Å and the angles 90.00°, 92.91° and 90.00°. The asymmetric unit holds Ba at (0.000, 0.000, 0.000), Ba at (0.235, 0.500, 0.596), Zr at (0.495, 0.000, 0.334) and W at (0.754, 0.500, 0.261).

The energy of formation comes out at 3.23 eV per formula unit. For the calculated volume, the calculation gives 143.49 Å³/f.u. The value obtained for the energy relative to the lowest polymorph listed for this composition is 0.1843 eV/atom. Its density of states at the Fermi level is 3.81 states/eV/cell. Its total DFT energy (no corrections) is -5.530 eV/atom.

Record 8
Compound: BaZrW
Source: the Alexandria database
Functional: PBE-GGA
Structure: relaxed

The structure belongs to space group I4mm (No. 107); the cell edges are 3.560, 3.560 and 13.233 Å and the angles 90.00°, 90.00° and 90.00°. The asymmetric unit holds Ba at (0.000, 0.000, 0.000), Zr at (0.000, 0.000, 0.273) and W at (0.000, 0.000, 0.683).

The energy of formation comes out at 2.35 eV per formula unit. For the calculated volume, the calculation gives 83.86 Å³/f.u. The value obtained for the energy relative to the lowest polymorph listed for this composition is 0.0000 eV/atom. Its density of states at the Fermi level is 7.00 states/eV/cell. Its total DFT energy (no corrections) is -7.025 eV/atom.